! PBE-GGA Cr2Br, optimized geometry; values from VASP
! Space-group type: I4/mcm, No. 140
! DOS(E_F): 6.14 states/eV/cell
! ΔE to the lowest computed polymorph: 0.951 eV per atom
&SYSTEM
  ibrav = 0, nat = 6, ntyp = 2
/
ATOMIC_SPECIES
Cr 52.00 Cr.upf
Br 79.90 Br.upf
CELL_PARAMETERS angstrom
2.634 -4.846 -1.960
-0.606 -2.790 5.110
-4.568 2.375 -2.784
ATOMIC_POSITIONS angstrom
Cr -1.565 -0.856 -1.067
Cr -0.975 -4.405 1.432
Cr -3.899 -0.740 0.716
Cr 1.359 -4.520 -0.351
Br 1.521 -5.727 2.362
Br 0.507 -1.909 0.787